# 1
## Cr2Ge2Os (GGA-PBE)

Data for an optimized crystal structure of Cr2Ge2Os.

Cell lengths 6.420, 6.420, 3.562 Å; angles 90.00, 90.00, 90.00 degrees
Positions (direct):
Ge 0.862 0.638 0.000
Ge 0.638 0.138 0.000
Ge 0.138 0.362 0.000
Ge 0.362 0.862 0.000
Cr 0.166 0.666 0.500
Cr 0.834 0.334 0.500
Cr 0.334 0.166 0.500
Cr 0.666 0.834 0.500
Os 0.500 0.500 0.000
Os 0.000 0.000 0.000

Properties
Its total magnetization is 11.7 μB per cell. For the density of states at the Fermi level, the calculation gives 3.3 states/eV/f.u. The formation energy is 0.21 eV per atom. As for the energy above the most stable polymorph in this dataset: 0.000 eV per atom. Its space group is P4/mbm.

---

# 2
## CrGe2Os (GGA-PBE)

Data for an optimized crystal structure of CrGe2Os.

Cell lengths 4.317, 4.317, 4.317 Å; angles 60.00, 60.00, 60.00 degrees
Positions (direct):
Ge 0.250 0.250 0.250
Ge 0.750 0.750 0.750
Cr 0.000 0.000 0.000
Os 0.500 0.500 0.500

Properties
Its total magnetization is 2.3 μB per cell. For the density of states at the Fermi level, the calculation gives 3.4 states/eV/f.u. The formation energy is 0.16 eV per atom. As for the energy above the most stable polymorph in this dataset: 0.000 eV per atom. Its space group is Fm-3m.

---

# 3
## Cr2GeOs (GGA-PBE)

Data for an optimized crystal structure of Cr2GeOs.

Cell lengths 6.785, 6.785, 5.439 Å; angles 51.41, 51.41, 90.00 degrees
Positions (direct):
Cr 0.110 0.625 0.250
Cr 0.375 0.360 0.750
Cr 0.640 0.125 0.250
Cr 0.875 0.890 0.750
Os 0.750 0.250 0.500
Os 0.000 0.000 0.000
Ge 0.250 0.750 0.500
Ge 0.500 0.500 0.000

Properties
Its total magnetization is 3.6 μB per cell. For the density of states at the Fermi level, the calculation gives 4.6 states/eV/f.u. The formation energy is 0.71 eV per atom. Its space group is I-42d.

---

# 4
## Cr2Ge2Os (GGA-PBE)

Data for an optimized crystal structure of Cr2Ge2Os.

Cell lengths 3.489, 3.489, 6.539 Å; angles 74.53, 74.53, 90.00 degrees
Positions (direct):
Cr 0.587 0.587 0.825
Cr 0.413 0.413 0.175
Os 0.000 0.000 0.000
Ge 0.250 0.750 0.500
Ge 0.750 0.250 0.500

Properties
Its total magnetization is 0.1 μB per cell. For the density of states at the Fermi level, the calculation gives 5.8 states/eV/f.u. The formation energy is 0.67 eV per atom. As for the energy above the most stable polymorph in this dataset: 0.463 eV per atom. Its space group is I4/mmm.

---

# 5
## Cr2GeOs (GGA-PBE)

Data for an optimized crystal structure of Cr2GeOs.

Cell lengths 2.739, 2.739, 7.018 Å; angles 90.00, 90.00, 90.00 degrees
Positions (direct):
Ge 0.500 0.500 0.000
Cr 0.000 0.000 0.252
Cr 0.000 0.000 0.748
Os 0.500 0.500 0.500

Properties
Its total magnetization is 0.2 μB per cell. For the density of states at the Fermi level, the calculation gives 3.5 states/eV/f.u. The formation energy is 0.12 eV per atom. Its space group is P4/mmm.

---

# 6
## CrGe2Os (GGA-PBE)

Data for an optimized crystal structure of CrGe2Os.

Cell lengths 5.826, 5.826, 6.801 Å; angles 64.64, 64.64, 90.00 degrees
Positions (direct):
Ge 0.097 0.625 0.250
Ge 0.375 0.347 0.750
Ge 0.875 0.903 0.750
Ge 0.653 0.125 0.250
Cr 0.250 0.750 0.500
Cr 0.500 0.500 0.000
Os 0.000 0.000 0.000
Os 0.750 0.250 0.500

Properties
Its total magnetization is 7.8 μB per cell. For the density of states at the Fermi level, the calculation gives 2.2 states/eV/f.u. The formation energy is 0.86 eV per atom. As for the energy above the most stable polymorph in this dataset: 0.708 eV per atom. Its space group is I-42d.

---

# 7
## Cr2Ge2Os (GGA-PBE)

Data for an optimized crystal structure of Cr2Ge2Os.

Cell lengths 6.732, 6.732, 3.049 Å; angles 90.00, 90.00, 90.00 degrees
Positions (direct):
Ge 0.184 0.684 0.500
Ge 0.816 0.316 0.500
Ge 0.316 0.184 0.500
Ge 0.684 0.816 0.500
Cr 0.614 0.114 0.000
Cr 0.386 0.886 0.000
Cr 0.114 0.386 0.000
Cr 0.886 0.614 0.000
Os 0.500 0.500 0.000
Os 0.000 0.000 0.000

Properties
Its total magnetization is 0.0 μB per cell. For the density of states at the Fermi level, the calculation gives 5.5 states/eV/f.u. The formation energy is 0.43 eV per atom. As for the energy above the most stable polymorph in this dataset: 0.221 eV per atom. Its space group is P4/mbm.

---

# 8
## CrGe2Os (GGA-PBE)

Data for an optimized crystal structure of CrGe2Os.

Cell lengths 2.955, 2.955, 9.005 Å; angles 80.56, 80.56, 60.00 degrees
Positions (direct):
Ge 0.906 0.906 0.281
Ge 0.094 0.094 0.719
Os 0.500 0.500 0.500
Cr 0.000 0.000 0.000

Properties
Its total magnetization is 3.0 μB per cell. For the density of states at the Fermi level, the calculation gives 3.7 states/eV/f.u. The formation energy is 0.46 eV per atom. As for the energy above the most stable polymorph in this dataset: 0.306 eV per atom. Its space group is R-3m.